No. 1
A plane-wave DFT calculation with GGA-PBE was carried out for crystalline La2Ti2Al at its relaxed geometry.

Summary:
- Space-group type: No. 127
- Uncorrected energy: -5.80 eV per atom

Cell lengths 7.2176, 7.2176, 4.7255 Å; angles 90.00, 90.00, 90.00 degrees
Last column: nearest neighbours and their distance in Å.
Element x y z (fractional)
La  0.1727  0.3273  0.0000  6 Ti 3.06-3.26
La  0.3273  0.8273  0.0000  6 Ti 3.06-3.26
La  0.6727  0.1727  0.0000  6 Ti 3.06-3.26
La  0.8273  0.6727  0.0000  6 Ti 3.06-3.26
Ti  0.1369  0.6369  0.5000  1 Ti 2.79, 2 Al 2.80, 2 La 3.06
Ti  0.3631  0.1369  0.5000  1 Ti 2.79, 2 Al 2.80, 2 La 3.06
Ti  0.6369  0.8631  0.5000  1 Ti 2.79, 2 Al 2.80, 2 La 3.06
Ti  0.8631  0.3631  0.5000  1 Ti 2.79, 2 Al 2.80, 2 La 3.06
Al  0.0000  0.0000  0.5000  4 Ti 2.80
Al  0.5000  0.5000  0.5000  4 Ti 2.80

=====

No. 2
A plane-wave DFT calculation with GGA-PBE was carried out for crystalline LaTi2Al2 at its relaxed geometry.

Summary:
- Space-group type: No. 127
- Energy above the lowest structure with this stoichiometry: 21 kJ/mol of formula units

Cell lengths 8.0291, 8.0291, 3.1188 Å; angles 90.00, 90.00, 90.00 degrees
Last column: nearest neighbours and their distance in Å.
Element x y z (fractional)
La  0.0000  0.0000  0.0000  2 La 3.12, 4 Al 3.21, 8 Ti 3.35
La  0.5000  0.5000  0.0000  2 La 3.12, 4 Al 3.21, 8 Ti 3.35
Ti  0.1749  0.3251  0.5000  6 Al 2.83-2.85, 2 Ti 3.12
Ti  0.3251  0.8251  0.5000  6 Al 2.83-2.85, 2 Ti 3.12
Ti  0.6749  0.1749  0.5000  6 Al 2.83-2.85, 2 Ti 3.12
Ti  0.8251  0.6749  0.5000  6 Al 2.83-2.85, 2 Ti 3.12
Al  0.1173  0.6173  0.0000  1 Al 2.66, 6 Ti 2.83-2.85
Al  0.3827  0.1173  0.0000  1 Al 2.66, 6 Ti 2.83-2.85
Al  0.6173  0.8827  0.0000  1 Al 2.66, 6 Ti 2.83-2.85
Al  0.8827  0.3827  0.0000  1 Al 2.66, 6 Ti 2.83-2.85

=====

No. 3
A plane-wave DFT calculation with GGA-PBE was carried out for crystalline LaTi2Al2 at its relaxed geometry.

Summary:
- Space-group type: No. 139
- Energy above the lowest structure with this stoichiometry: 24 kJ/mol of formula units

Cell lengths 4.2053, 4.2053, 12.5944 Å; angles 90.00, 90.00, 90.00 degrees
Last column: nearest neighbours and their distance in Å.
Element x y z (fractional)
La  0.0000  0.0000  0.0000  8 Al 3.26
La  0.5000  0.5000  0.5000  8 Al 3.26
Ti  0.0000  0.5000  0.2500  4 Al 2.77, 4 Ti 2.97
Ti  0.0000  0.5000  0.7500  4 Al 2.77, 4 Ti 2.97
Ti  0.5000  0.0000  0.2500  4 Al 2.77, 4 Ti 2.97
Ti  0.5000  0.0000  0.7500  4 Al 2.77, 4 Ti 2.97
Al  0.0000  0.0000  0.3936  1 Al 2.68, 4 Ti 2.77
Al  0.0000  0.0000  0.6064  1 Al 2.68, 4 Ti 2.77
Al  0.5000  0.5000  0.1064  1 Al 2.68, 4 Ti 2.77
Al  0.5000  0.5000  0.8936  1 Al 2.68, 4 Ti 2.77